Record 1
The following is a PBE-GGA calculation of a geometry-optimized LiPbAuSe2 structure, from the Alexandria database.

Calculated values
The calculation puts the total magnetic moment at 0.00 Bohr magnetons per cell. The calculation puts the density at 7428 kg/m3. Its uncorrected formation energy is -590 meV per atom. The energy comes out at -37.634 eV per cell. The crystal system is monoclinic. As for the space group: P2/c, No. 13.

Unit cell a=7.1801 b=4.7742 c=7.5723 alpha=90.00 beta=101.42 gamma=90.00
Fractional coordinates of all 10 atoms:
Li  0.0000  0.0126  0.2500
Li  0.0000  0.9874  0.7500
Pb  0.5000  0.3689  0.7500
Pb  0.5000  0.6311  0.2500
Au  0.0000  0.5000  0.0000
Au  0.0000  0.5000  0.5000
Se  0.2696  0.1776  0.0372
Se  0.2696  0.8224  0.5372
Se  0.7304  0.1776  0.4628
Se  0.7304  0.8224  0.9628

=====

Record 2
The following is a PBE-GGA calculation of a geometry-optimized LiSi3Pb2Au12 structure, from the Alexandria database.

Calculated values
The calculation puts the total magnetic moment at 0.00 Bohr magnetons per cell. The calculation puts the density at 12090 kg/m3. Its uncorrected formation energy is 13 meV per atom. The energy comes out at -64.702 eV per cell. The crystal system is trigonal. As for the space group: R-3m, No. 166.

Unit cell a=7.6504 b=7.6504 c=7.6504 alpha=72.10 beta=72.10 gamma=72.10
Fractional coordinates of all 18 atoms:
Li  0.0000  0.0000  0.0000
Si  0.0000  0.0000  0.5000
Si  0.0000  0.5000  0.0000
Si  0.5000  0.0000  0.0000
Pb  0.3996  0.3996  0.3996
Pb  0.6004  0.6004  0.6004
Au  0.1497  0.6999  0.6999
Au  0.1506  0.1506  0.6287
Au  0.1506  0.6287  0.1506
Au  0.3001  0.3001  0.8503
Au  0.3001  0.8503  0.3001
Au  0.3713  0.8494  0.8494
Au  0.6287  0.1506  0.1506
Au  0.6999  0.1497  0.6999
Au  0.6999  0.6999  0.1497
Au  0.8494  0.3713  0.8494
Au  0.8494  0.8494  0.3713
Au  0.8503  0.3001  0.3001

=====

Record 3
The following is a PBE-GGA calculation of a geometry-optimized Li2SmPbAu2 structure, from the Alexandria database.

Calculated values
The calculation puts the total magnetic moment at 0.00 Bohr magnetons per cell. The calculation puts the density at 10167 kg/m3. The energy comes out at -22.215 eV per cell. The crystal system is trigonal. As for the space group: P-3m1, No. 164. For the formation energy from the elements, the calculation gives -0.568 eV per atom.

Unit cell a=4.6694 b=4.6694 c=6.6205 alpha=90.00 beta=90.00 gamma=120.00
Fractional coordinates of all 6 atoms:
Li  0.3333  0.6667  0.1793
Li  0.6667  0.3333  0.8207
Sm  0.0000  0.0000  0.5000
Pb  0.0000  0.0000  0.0000
Au  0.3333  0.6667  0.7392
Au  0.6667  0.3333  0.2608

=====

Record 4
The following is a PBE-GGA calculation of a geometry-optimized SrLiPbAu structure, from the Alexandria database.

Calculated values
The calculation puts the total magnetic moment at 0.00 Bohr magnetons per cell. The calculation puts the density at 8447 kg/m3. The energy comes out at -12.446 eV per cell. The crystal system is cubic. As for the space group: F-43m, No. 216. For the formation energy from the elements, the calculation gives -0.466 eV per atom.

Unit cell a=5.1758 b=5.1758 c=5.1758 alpha=60.00 beta=60.00 gamma=60.00
Fractional coordinates of all 4 atoms:
Sr  0.0000  0.0000  0.0000
Li  0.7500  0.7500  0.7500
Pb  0.5000  0.5000  0.5000
Au  0.2500  0.2500  0.2500

=====

Record 5
The following is a PBE-GGA calculation of a geometry-optimized SrLi4Pb2Au structure, from the Alexandria database.

Calculated values
The calculation puts the total magnetic moment at 0.00 Bohr magnetons per cell. The calculation puts the density at 6594 kg/m3. The energy comes out at -22.817 eV per cell. The crystal system is trigonal. As for the space group: R-3m, No. 166. For the formation energy from the elements, the calculation gives -0.348 eV per atom.

Unit cell a=9.7907 b=9.7907 c=9.7907 alpha=28.03 beta=28.03 gamma=28.03
Fractional coordinates of all 8 atoms:
Sr  0.0000  0.0000  0.0000
Li  0.1386  0.1386  0.1386
Li  0.4113  0.4113  0.4113
Li  0.5887  0.5887  0.5887
Li  0.8614  0.8614  0.8614
Pb  0.2467  0.2467  0.2467
Pb  0.7533  0.7533  0.7533
Au  0.5000  0.5000  0.5000

=====

Record 6
The following is a PBE-GGA calculation of a geometry-optimized Sr2LiPb4Au3 structure, from the Alexandria database.

Calculated values
The calculation puts the total magnetic moment at 0.00 Bohr magnetons per cell. The calculation puts the density at 9511 kg/m3. The energy comes out at -33.979 eV per cell. The crystal system is tetragonal. As for the space group: P-4m2, No. 115. For the formation energy from the elements, the calculation gives -0.404 eV per atom.

Unit cell a=4.7873 b=4.7873 c=12.2035 alpha=90.00 beta=90.00 gamma=90.00
Fractional coordinates of all 10 atoms:
Sr  0.0000  0.5000  0.2410
Sr  0.5000  0.0000  0.7590
Li  0.5000  0.5000  0.0000
Pb  0.0000  0.0000  0.5000
Pb  0.0000  0.5000  0.8742
Pb  0.5000  0.0000  0.1258
Pb  0.5000  0.5000  0.5000
Au  0.0000  0.0000  0.0000
Au  0.0000  0.5000  0.6462
Au  0.5000  0.0000  0.3538

=====

Record 7
The following is a PBE-GGA calculation of a geometry-optimized SrLiPbAu3 structure, from the Alexandria database.

Calculated values
The calculation puts the total magnetic moment at 0.00 Bohr magnetons per cell. The calculation puts the density at 10160 kg/m3. The energy comes out at -38.920 eV per cell. The crystal system is orthorhombic. As for the space group: Cmcm, No. 63. For the formation energy from the elements, the calculation gives -0.387 eV per atom.

Unit cell a=7.1447 b=7.1447 c=7.4862 alpha=90.00 beta=90.00 gamma=130.22
Fractional coordinates of all 12 atoms:
Sr  0.1762  0.8238  0.7500
Sr  0.8238  0.1762  0.2500
Li  0.4266  0.5734  0.7500
Li  0.5734  0.4266  0.2500
Pb  0.1407  0.8593  0.2500
Pb  0.8593  0.1407  0.7500
Au  0.2480  0.2480  0.0000
Au  0.2480  0.2480  0.5000
Au  0.3659  0.6341  0.2500
Au  0.6341  0.3659  0.7500
Au  0.7520  0.7520  0.0000
Au  0.7520  0.7520  0.5000

=====

Record 8
The following is a PBE-GGA calculation of a geometry-optimized Li2TaPbAu structure, from the Alexandria database.

Calculated values
The calculation puts the total magnetic moment at 0.91 Bohr magnetons per cell. The calculation puts the density at 8442 kg/m3. The energy comes out at -18.411 eV per cell. The crystal system is tetragonal. As for the space group: P4/mmm, No. 123. For the formation energy from the elements, the calculation gives 0.851 eV per atom.

Unit cell a=4.6863 b=4.6863 c=5.3648 alpha=90.00 beta=90.00 gamma=90.00
Fractional coordinates of all 5 atoms:
Li  0.0000  0.5000  0.0000
Li  0.5000  0.0000  0.0000
Ta  0.0000  0.0000  0.5000
Pb  0.0000  0.0000  0.0000
Au  0.5000  0.5000  0.5000

=====

Record 9
The following is a PBE-GGA calculation of a geometry-optimized Li2TbPbAu2 structure, from the Alexandria database.

Calculated values
The calculation puts the total magnetic moment at 0.00 Bohr magnetons per cell. The calculation puts the density at 10530 kg/m3. The energy comes out at -22.151 eV per cell. The crystal system is trigonal. As for the space group: P-3m1, No. 164. For the formation energy from the elements, the calculation gives -0.572 eV per atom.

Unit cell a=4.6636 b=4.6636 c=6.4795 alpha=90.00 beta=90.00 gamma=120.00
Fractional coordinates of all 6 atoms:
Li  0.3333  0.6667  0.1858
Li  0.6667  0.3333  0.8142
Tb  0.0000  0.0000  0.5000
Pb  0.0000  0.0000  0.0000
Au  0.3333  0.6667  0.7294
Au  0.6667  0.3333  0.2706

=====

Record 10
The following is a PBE-GGA calculation of a geometry-optimized LiTePbAu structure, from the Alexandria database.

Calculated values
The calculation puts the total magnetic moment at 0.00 Bohr magnetons per cell. The calculation puts the density at 8708 kg/m3. Its uncorrected formation energy is -253 meV per atom. The energy comes out at -13.052 eV per cell. The crystal system is cubic. As for the space group: F-43m, No. 216.

Unit cell a=5.2569 b=5.2569 c=5.2569 alpha=60.00 beta=60.00 gamma=60.00
Fractional coordinates of all 4 atoms:
Li  0.0000  0.0000  0.0000
Te  0.2500  0.2500  0.2500
Pb  0.5000  0.5000  0.5000
Au  0.7500  0.7500  0.7500

=====

Record 11
The following is a PBE-GGA calculation of a geometry-optimized LiThPbAu structure, from the Alexandria database.

Calculated values
The calculation puts the total magnetic moment at 0.00 Bohr magnetons per cell. The calculation puts the density at 10776 kg/m3. The energy comes out at -17.965 eV per cell. The crystal system is cubic. As for the space group: F-43m, No. 216. For the formation energy from the elements, the calculation gives -0.411 eV per atom.

Unit cell a=5.1944 b=5.1944 c=5.1944 alpha=60.00 beta=60.00 gamma=60.00
Fractional coordinates of all 4 atoms:
Li  0.0000  0.0000  0.0000
Th  0.5000  0.5000  0.5000
Pb  0.2500  0.2500  0.2500
Au  0.7500  0.7500  0.7500

=====

Record 12
The following is a PBE-GGA calculation of a geometry-optimized LiTiPbAu structure, from the Alexandria database.

Calculated values
The calculation puts the total magnetic moment at 0.00 Bohr magnetons per cell. The calculation puts the density at 10220 kg/m3. The energy comes out at -17.669 eV per cell. The crystal system is cubic. As for the space group: F-43m, No. 216. For the formation energy from the elements, the calculation gives -0.219 eV per atom.

Unit cell a=4.7246 b=4.7246 c=4.7246 alpha=60.00 beta=60.00 gamma=60.00
Fractional coordinates of all 4 atoms:
Li  0.0000  0.0000  0.0000
Ti  0.5000  0.5000  0.5000
Pb  0.2500  0.2500  0.2500
Au  0.7500  0.7500  0.7500

=====

- Which value of energy does entry 9 give?
  -22.151 eV per cell